Entry from Alexandria via LeMat-Bulk: crystalline Tb2Zr3ScN6 at its relaxed geometry (GGA-PBE).

a b c (Å): 5.743 5.743 5.783
angles (deg): 99.56 99.56 119.92
Fractional positions:
1 Tb 0.167 0.833 0.000
2 Tb 0.833 0.167 0.000
3 Zr 0.000 0.000 0.500
4 Zr 0.335 0.665 0.500
5 Zr 0.665 0.335 0.500
6 Sc 0.500 0.500 0.000
7 N 0.089 0.412 0.737
8 N 0.264 0.264 0.263
9 N 0.412 0.089 0.737
10 N 0.588 0.911 0.263
11 N 0.736 0.736 0.737
12 N 0.911 0.588 0.263

Calculated values
Space group: C2/m
V, Å³ per atom: 13.00
Uncorrected energy, Ry/atom: -0.686
Crystal system: monoclinic
Formation energy without anion corrections, kJ/mol of formula units: -2004